This record from the Alexandria database describes ZrMo2Rh after structural relaxation. The functional is PBE.

Cell: 5.3436 9.1413 2.7734 Å, 90.00 90.00 90.00°
With the nearest neighbours (Å) after each atom.
Fractional coordinates of all 8 atoms:
Zr 0.0000 0.0000 0.0000  2 Rh 2.67, 2 Zr 2.77, 8 Mo 2.99
Zr 0.5000 0.5000 0.0000  2 Rh 2.67, 2 Zr 2.77, 8 Mo 2.99
Mo 0.2500 0.2500 0.5000  4 Mo 2.67-2.77, 4 Zr 2.99, 4 Rh 2.99
Mo 0.2500 0.7500 0.5000  4 Mo 2.67-2.77, 4 Zr 2.99, 4 Rh 2.99
Mo 0.7500 0.2500 0.5000  4 Mo 2.67-2.77, 4 Zr 2.99, 4 Rh 2.99
Mo 0.7500 0.7500 0.5000  4 Mo 2.67-2.77, 4 Zr 2.99, 4 Rh 2.99
Rh 0.0000 0.5000 0.0000  2 Zr 2.67, 2 Rh 2.77, 8 Mo 2.99
Rh 0.5000 0.0000 0.0000  2 Zr 2.67, 2 Rh 2.77, 8 Mo 2.99

Output
space-group type	Cmmm, No. 65
calculated total energy	-9.29	eV per atom



This record from the Alexandria database describes ZrMoRh2 after structural relaxation. The functional is PBE.

Cell: 9.3824 2.9055 4.8948 Å, 90.00 99.89 90.00°
With the nearest neighbours (Å) after each atom.
Fractional coordinates of all 8 atoms:
Zr 0.0000 0.0000 0.0000  7 Rh 2.68-2.87, 2 Zr 2.91, 1 Mo 2.92
Zr 0.5000 0.5000 0.0000  7 Rh 2.68-2.87, 2 Zr 2.91, 1 Mo 2.92
Mo 0.2700 0.5000 0.3343  7 Rh 2.68-2.96, 2 Mo 2.91, 1 Zr 2.92
Mo 0.7700 0.0000 0.3343  7 Rh 2.68-2.96, 2 Mo 2.91, 1 Zr 2.92
Rh 0.0096 0.5000 0.4981  3 Mo 2.68-2.70, 4 Zr 2.83-2.87, 4 Rh 2.87-2.91
Rh 0.2491 0.0000 0.8009  3 Zr 2.68-2.80, 4 Mo 2.74-2.96, 4 Rh 2.87-2.91
Rh 0.5096 0.0000 0.4981  3 Mo 2.68-2.70, 4 Zr 2.83-2.87, 4 Rh 2.87-2.91
Rh 0.7491 0.5000 0.8009  3 Zr 2.68-2.80, 4 Mo 2.74-2.96, 4 Rh 2.87-2.91

Output
space-group type	Cm, No. 8
calculated total energy	-8.81	eV per atom



This record from the Alexandria database describes ZrMoRh after structural relaxation. The functional is PBE.

Cell: 2.9066 2.9066 12.2671 Å, 90.00 90.00 90.00°
With the nearest neighbours (Å) after each atom.
Fractional coordinates of all 6 atoms:
Zr 0.0000 0.0000 0.0000  4 Zr 2.91, 4 Rh 2.94, 4 Mo 3.07
Zr 0.5000 0.5000 0.5000  4 Zr 2.91, 4 Rh 2.94, 4 Mo 3.07
Mo 0.0000 0.0000 0.6862  4 Rh 2.70, 4 Mo 2.91
Mo 0.5000 0.5000 0.1862  4 Rh 2.70, 4 Mo 2.91
Rh 0.0000 0.0000 0.3287  4 Mo 2.70, 4 Rh 2.91, 4 Zr 2.94
Rh 0.5000 0.5000 0.8287  4 Mo 2.70, 4 Rh 2.91, 4 Zr 2.94

Output
space-group type	I4mm, No. 107
calculated total energy	-9.07	eV per atom



This record from the Alexandria database describes ZrMo2Rh after structural relaxation. The functional is PBE.

Cell: 9.4682 2.8217 5.1727 Å, 90.00 99.13 90.00°
With the nearest neighbours (Å) after each atom.
Fractional coordinates of all 8 atoms:
Zr 0.0000 0.0000 0.0000  3 Rh 2.71-2.77, 2 Zr 2.82, 5 Mo 2.89-2.98
Zr 0.5000 0.5000 0.0000  3 Rh 2.71-2.77, 2 Zr 2.82, 5 Mo 2.89-2.98
Mo 0.2207 0.0000 0.6741  5 Mo 2.58-2.88, 1 Zr 2.89
Mo 0.4585 0.0000 0.4906  5 Mo 2.58-2.88, 2 Rh 2.75
Mo 0.7207 0.5000 0.6741  5 Mo 2.58-2.88, 1 Zr 2.89
Mo 0.9585 0.5000 0.4906  5 Mo 2.58-2.88, 2 Rh 2.75
Rh 0.2472 0.5000 0.1812  3 Zr 2.71-2.77, 6 Mo 2.75-2.96, 2 Rh 2.82
Rh 0.7472 0.0000 0.1812  3 Zr 2.71-2.77, 6 Mo 2.75-2.96, 2 Rh 2.82

Output
space-group type	Cm, No. 8
calculated total energy	-9.36	eV per atom



This record from the Alexandria database describes ZrMo2Rh after structural relaxation. The functional is PBE.

Cell: 2.8312 2.8312 29.3328 Å, 90.00 90.00 120.00°
With the nearest neighbours (Å) after each atom.
Fractional coordinates of all 12 atoms:
Zr 0.0000 0.0000 0.0000  6 Zr 2.83, 6 Mo 3.14
Zr 0.3333 0.6667 0.6667  6 Zr 2.83, 6 Mo 3.14
Zr 0.6667 0.3333 0.3333  6 Zr 2.83, 6 Mo 3.14
Mo 0.0000 0.0000 0.2419  3 Rh 2.75, 6 Mo 2.83
Mo 0.0000 0.0000 0.7581  3 Rh 2.75, 6 Mo 2.83
Mo 0.3333 0.6667 0.4248  3 Rh 2.75, 6 Mo 2.83
Mo 0.3333 0.6667 0.9086  3 Rh 2.75, 6 Mo 2.83
Mo 0.6667 0.3333 0.0914  3 Rh 2.75, 6 Mo 2.83
Mo 0.6667 0.3333 0.5752  3 Rh 2.75, 6 Mo 2.83
Rh 0.0000 0.0000 0.5000  6 Mo 2.75, 6 Rh 2.83
Rh 0.3333 0.6667 0.1667  6 Mo 2.75, 6 Rh 2.83
Rh 0.6667 0.3333 0.8333  6 Mo 2.75, 6 Rh 2.83

Output
space-group type	R-3m, No. 166
calculated total energy	-9.18	eV per atom



This record from the Alexandria database describes ZrMoRh after structural relaxation. The functional is PBE.

Cell: 6.2171 6.2171 6.2171 Å, 90.00 90.00 90.00°
With the nearest neighbours (Å) after each atom.
Fractional coordinates of all 12 atoms:
Zr 0.0000 0.0000 0.0000  4 Rh 2.69
Zr 0.0000 0.5000 0.5000  4 Rh 2.69
Zr 0.5000 0.0000 0.5000  4 Rh 2.69
Zr 0.5000 0.5000 0.0000  4 Rh 2.69
Mo 0.0000 0.0000 0.5000  4 Rh 2.69
Mo 0.0000 0.5000 0.0000  4 Rh 2.69
Mo 0.5000 0.0000 0.0000  4 Rh 2.69
Mo 0.5000 0.5000 0.5000  4 Rh 2.69
Rh 0.2500 0.2500 0.7500  4 Mo 2.69, 4 Zr 2.69
Rh 0.2500 0.7500 0.2500  4 Mo 2.69, 4 Zr 2.69
Rh 0.7500 0.2500 0.2500  4 Mo 2.69, 4 Zr 2.69
Rh 0.7500 0.7500 0.7500  4 Mo 2.69, 4 Zr 2.69

Output
space-group type	F-43m, No. 216
calculated total energy	-8.68	eV per atom



This record from the Alexandria database describes Zr4MoRh2 after structural relaxation. The functional is PBE.

Cell: 6.5583 6.5583 6.5571 Å, 90.00 90.00 90.00°
With the nearest neighbours (Å) after each atom.
Fractional coordinates of all 14 atoms:
Zr 0.2500 0.2500 0.2500  2 Mo 2.84, 4 Rh 2.84
Zr 0.2500 0.2500 0.7500  2 Mo 2.84, 4 Rh 2.84
Zr 0.2500 0.7500 0.2500  2 Mo 2.84, 4 Rh 2.84
Zr 0.2500 0.7500 0.7500  2 Mo 2.84, 4 Rh 2.84
Zr 0.7500 0.2500 0.2500  2 Mo 2.84, 4 Rh 2.84
Zr 0.7500 0.2500 0.7500  2 Mo 2.84, 4 Rh 2.84
Zr 0.7500 0.7500 0.2500  2 Mo 2.84, 4 Rh 2.84
Zr 0.7500 0.7500 0.7500  2 Mo 2.84, 4 Rh 2.84
Mo 0.0000 0.0000 0.0000  8 Zr 2.84
Mo 0.5000 0.5000 0.5000  8 Zr 2.84
Rh 0.0000 0.5000 0.0000  8 Zr 2.84
Rh 0.0000 0.5000 0.5000  8 Zr 2.84
Rh 0.5000 0.0000 0.0000  8 Zr 2.84
Rh 0.5000 0.0000 0.5000  8 Zr 2.84

Output
space-group type	I4/mmm, No. 139
calculated total energy	-8.88	eV per atom



This record from the Alexandria database describes ZrMoRh2 after structural relaxation. The functional is PBE.

Cell: 4.0738 4.0738 17.4745 Å, 90.00 90.00 90.00°
With the nearest neighbours (Å) after each atom.
Fractional coordinates of all 16 atoms:
Zr 0.0000 0.0000 0.0000  4 Rh 2.65, 4 Mo 2.88
Zr 0.0000 0.5000 0.2500  4 Rh 2.65, 4 Mo 2.88
Zr 0.5000 0.0000 0.7500  4 Rh 2.65, 4 Mo 2.88
Zr 0.5000 0.5000 0.5000  4 Rh 2.65, 4 Mo 2.88
Mo 0.0000 0.0000 0.5000  4 Rh 2.59, 4 Zr 2.88
Mo 0.0000 0.5000 0.7500  4 Rh 2.59, 4 Zr 2.88
Mo 0.5000 0.0000 0.2500  4 Rh 2.59, 4 Zr 2.88
Mo 0.5000 0.5000 0.0000  4 Rh 2.59, 4 Zr 2.88
Rh 0.2313 0.2500 0.6250  2 Mo 2.59, 2 Zr 2.65, 2 Rh 2.78
Rh 0.2500 0.7313 0.8750  2 Mo 2.59, 2 Zr 2.65, 2 Rh 2.78
Rh 0.2500 0.7687 0.3750  2 Mo 2.59, 2 Zr 2.65, 2 Rh 2.78
Rh 0.2687 0.2500 0.1250  2 Mo 2.59, 2 Zr 2.65, 2 Rh 2.78
Rh 0.7313 0.7500 0.1250  2 Mo 2.59, 2 Zr 2.65, 2 Rh 2.78
Rh 0.7500 0.2313 0.3750  2 Mo 2.59, 2 Zr 2.65, 2 Rh 2.78
Rh 0.7500 0.2687 0.8750  2 Mo 2.59, 2 Zr 2.65, 2 Rh 2.78
Rh 0.7687 0.7500 0.6250  2 Mo 2.59, 2 Zr 2.65, 2 Rh 2.78

Output
space-group type	I-42d, No. 122
calculated total energy	-8.30	eV per atom



This record from the Alexandria database describes ZrMoRh2 after structural relaxation. The functional is PBE.

Cell: 4.0878 4.0878 3.8836 Å, 90.00 90.00 90.00°
With the nearest neighbours (Å) after each atom.
Fractional coordinates of all 4 atoms:
Zr 0.0000 0.0000 0.0000  8 Rh 2.82, 4 Mo 2.89
Mo 0.5000 0.5000 0.0000  8 Rh 2.82, 4 Zr 2.89
Rh 0.0000 0.5000 0.5000  4 Zr 2.82, 4 Mo 2.82, 4 Rh 2.89
Rh 0.5000 0.0000 0.5000  4 Zr 2.82, 4 Mo 2.82, 4 Rh 2.89

Output
space-group type	P4/mmm, No. 123
calculated total energy	-8.88	eV per atom



This record from the Alexandria database describes ZrMo4Rh after structural relaxation. The functional is PBE.

Cell: 5.2705 5.2705 5.2705 Å, 60.00 60.00 60.00°
With the nearest neighbours (Å) after each atom.
Fractional coordinates of all 6 atoms:
Zr 0.0000 0.0000 0.0000  12 Mo 3.09, 4 Rh 3.23
Mo 0.1208 0.6264 0.6264  6 Mo 2.61-2.66
Mo 0.6264 0.1208 0.6264  6 Mo 2.61-2.66
Mo 0.6264 0.6264 0.1208  6 Mo 2.61-2.66
Mo 0.6264 0.6264 0.6264  6 Mo 2.61-2.66
Rh 0.2500 0.2500 0.2500  12 Mo 3.09, 4 Zr 3.23

Output
space-group type	F-43m, No. 216
calculated total energy	-9.75	eV per atom



This record from the Alexandria database describes ZrMo2Rh after structural relaxation. The functional is PBE.

Cell: 2.8401 4.4169 5.4568 Å, 90.00 100.49 90.00°
With the nearest neighbours (Å) after each atom.
Fractional coordinates of all 4 atoms:
Zr 0.0000 0.0000 0.0000  2 Rh 2.77, 4 Mo 2.82-2.86, 2 Zr 2.84
Mo 0.5349 0.0000 0.4883  4 Mo 2.60-2.84, 2 Rh 2.81, 2 Zr 2.82-2.86
Mo 0.7432 0.5000 0.2801  4 Mo 2.60-2.84, 2 Rh 2.78-2.91, 2 Zr 2.86
Rh 0.2866 0.5000 0.7574  2 Zr 2.77, 4 Mo 2.78-2.91, 2 Rh 2.84

Output
space-group type	Pm, No. 6
calculated total energy	-9.47	eV per atom



This record from the Alexandria database describes ZrMo2Rh after structural relaxation. The functional is PBE.

Cell: 3.2403 3.2403 6.4336 Å, 90.00 90.00 90.00°
With the nearest neighbours (Å) after each atom.
Fractional coordinates of all 4 atoms:
Zr 0.0000 0.0000 0.0000  4 Rh 2.78, 4 Mo 2.89
Mo 0.0000 0.0000 0.4915  4 Mo 2.69, 4 Rh 2.85
Mo 0.5000 0.5000 0.2729  4 Mo 2.69, 4 Zr 2.89
Rh 0.5000 0.5000 0.7540  4 Zr 2.78, 5 Mo 2.85-3.10

Output
space-group type	P4mm, No. 99
calculated total energy	-9.58	eV per atom



Question: calculated total energy of number 8 (ZrMoRh2)?
Answer: -8.30 eV per atom



What did the second record say?
This record from the Alexandria database describes ZrMoRh2 after structural relaxation. The functional is PBE.

Cell: 9.3824 2.9055 4.8948 Å, 90.00 99.89 90.00°
With the nearest neighbours (Å) after each atom.
Fractional coordinates of all 8 atoms:
Zr 0.0000 0.0000 0.0000  7 Rh 2.68-2.87, 2 Zr 2.91, 1 Mo 2.92
Zr 0.5000 0.5000 0.0000  7 Rh 2.68-2.87, 2 Zr 2.91, 1 Mo 2.92
Mo 0.2700 0.5000 0.3343  7 Rh 2.68-2.96, 2 Mo 2.91, 1 Zr 2.92
Mo 0.7700 0.0000 0.3343  7 Rh 2.68-2.96, 2 Mo 2.91, 1 Zr 2.92
Rh 0.0096 0.5000 0.4981  3 Mo 2.68-2.70, 4 Zr 2.83-2.87, 4 Rh 2.87-2.91
Rh 0.2491 0.0000 0.8009  3 Zr 2.68-2.80, 4 Mo 2.74-2.96, 4 Rh 2.87-2.91
Rh 0.5096 0.0000 0.4981  3 Mo 2.68-2.70, 4 Zr 2.83-2.87, 4 Rh 2.87-2.91
Rh 0.7491 0.5000 0.8009  3 Zr 2.68-2.80, 4 Mo 2.74-2.96, 4 Rh 2.87-2.91

Output
space-group type	Cm, No. 8
calculated total energy	-8.81	eV per atom



Question: What is the calculated total energy in the third record?
Answer: -9.07 eV per atom



Question: calculated total energy of number 2 (ZrMoRh2)?
Answer: -8.81 eV per atom